No. 1
Entry from the Alexandria database: a crystal of MnPt2W relaxed with PBEsol (meta-GGA SCAN).

Properties
Energy above the lowest structure with this stoichiometry   0.080 eV/atom
Space-group type   No. 139
DOS(E_F)   1.8 states/eV/f.u.
ΔE_f   -178 kJ/mol of formula units

Lattice parameters (Å, degrees): 4.7732 4.7732 4.7732 133.14 133.14 68.44
Last column: nearest neighbours and their distance in Å.
Fractional coordinates of all 4 atoms:
Mn: 0.0000 0.0000 0.0000  4 W 2.68, 8 Pt 2.74
Pt: 0.2500 0.7500 0.5000  4 Pt 2.68, 4 Mn 2.74, 4 W 2.74
Pt: 0.7500 0.2500 0.5000  4 Pt 2.68, 4 Mn 2.74, 4 W 2.74
W: 0.5000 0.5000 0.0000  4 Mn 2.68, 8 Pt 2.74

---

No. 2
Entry from the Alexandria database: a crystal of LaAg2Pt relaxed with PBEsol (meta-GGA SCAN).

Properties
Energy above the lowest structure with this stoichiometry   0.000 eV/atom
Space-group type   No. 123
DOS(E_F)   1.0 states/eV/f.u.
ΔE_f   -115 kJ/mol of formula units

Lattice parameters (Å, degrees): 3.8415 3.8415 5.5963 90.00 90.00 90.00
Last column: nearest neighbours and their distance in Å.
Fractional coordinates of all 4 atoms:
La: 0.0000 0.0000 0.0000  2 Pt 2.80, 8 Ag 3.11
Ag: 0.5000 0.5000 0.2693  1 Ag 2.58
Ag: 0.5000 0.5000 0.7307  1 Ag 2.58
Pt: 0.0000 0.0000 0.5000  2 La 2.80, 8 Ag 3.01

---

No. 3
Entry from the Alexandria database: a crystal of SbP2AuC relaxed with PBEsol (meta-GGA SCAN).

Properties
E_form (uncorrected)   2.378 eV per atom
Space-group type   No. 123
DOS(E_F)   2.6 states/eV/f.u.

Lattice parameters (Å, degrees): 5.0493 5.0493 5.0406 90.00 90.00 90.00
Last column: nearest neighbours and their distance in Å.
Fractional coordinates of all 5 atoms:
Sb: 0.0000 0.0000 0.0000  2 Au 2.52, 4 P 2.52
P: 0.0000 0.5000 0.0000  2 Sb 2.52
P: 0.5000 0.0000 0.0000  2 Sb 2.52
Au: 0.0000 0.0000 0.5000  2 Sb 2.52
C: 0.5000 0.5000 0.5000  8 P 3.57, 4 Au 3.57

---

No. 4
Entry from the Alexandria database: a crystal of MgCdAs2 relaxed with PBEsol (meta-GGA SCAN).

Properties
Space-group type   No. 123
DOS(E_F)   1.5 states/eV/f.u.
ΔE_f   -18 kJ/mol of formula units

Lattice parameters (Å, degrees): 5.2368 5.2368 2.8755 90.00 90.00 90.00
Last column: nearest neighbours and their distance in Å.
Fractional coordinates of all 4 atoms:
Mg: 0.0000 0.0000 0.0000  2 Mg 2.88, 8 As 2.99
Cd: 0.5000 0.5000 0.0000  2 Cd 2.88, 8 As 2.99
As: 0.0000 0.5000 0.5000  2 As 2.88, 4 Cd 2.99, 4 Mg 2.99
As: 0.5000 0.0000 0.5000  2 As 2.88, 4 Cd 2.99, 4 Mg 2.99